1.
Below is a relaxed structure of RbYBAu, with properties calculated at the GGA-PBE level.

Summary:
crystal system = cubic
space group = F-43m
volume = 83 Å³ per cell
energy relative to the lowest polymorph listed for this composition = 37.1 kJ/mol of formula units

Unit cell a=4.8947 b=4.8947 c=4.8947 alpha=60.00 beta=60.00 gamma=60.00
Positions (direct):
Rb 0.0000 0.0000 0.0000
Y 0.2500 0.2500 0.2500
B 0.7500 0.7500 0.7500
Au 0.5000 0.5000 0.5000

2.
Below is a relaxed structure of Cu11Ag3, with properties calculated at the GGA-PBE level.

Summary:
crystal system = monoclinic
space group = Cm
volume = 204 Å³ per cell
energy of formation from the pure elements = 0.2810 eV per atom

Unit cell a=6.7625 b=6.7625 c=5.9582 alpha=112.93 beta=112.93 gamma=56.69
Positions (direct):
Cu 0.0000 0.0000 0.0000
Cu 0.0516 0.6609 0.1320
Cu 0.0858 0.7089 0.5695
Cu 0.2244 0.2244 0.0357
Cu 0.4036 0.9637 0.3230
Cu 0.4093 0.7783 0.8884
Cu 0.5174 0.5174 0.2436
Cu 0.6609 0.0516 0.1320
Cu 0.7089 0.0858 0.5695
Cu 0.7783 0.4093 0.8884
Cu 0.9637 0.4036 0.3230
Ag 0.0769 0.0769 0.5326
Ag 0.3493 0.3493 0.7734
Ag 0.7274 0.7274 0.6866

3.
Below is a relaxed structure of HfTlCo2, with properties calculated at the GGA-PBE level.

Summary:
crystal system = cubic
total energy = -6.27 eV per atom
space group = F-43m
volume = 64 Å³ per cell

Unit cell a=4.4898 b=4.4898 c=4.4898 alpha=60.00 beta=60.00 gamma=60.00
Positions (direct):
Hf 0.0000 0.0000 0.0000
Tl 0.7500 0.7500 0.7500
Co 0.2500 0.2500 0.2500
Co 0.5000 0.5000 0.5000

4.
Below is a relaxed structure of KHfNO, with properties calculated at the GGA-PBE level.

Summary:
crystal system = orthorhombic
space group = Pmc2_1
volume = 151 Å³ per cell
energy relative to the lowest polymorph listed for this composition = 53.3 kJ/mol of formula units

Unit cell a=3.5512 b=7.0610 c=6.0227 alpha=90.00 beta=90.00 gamma=90.00
Positions (direct):
K 0.0000 0.1747 0.0000
K 0.0000 0.8253 0.5000
Hf 0.5000 0.3506 0.5094
Hf 0.5000 0.6494 0.0094
N 0.5000 0.4143 0.8289
N 0.5000 0.5857 0.3289
O 0.0000 0.2079 0.4569
O 0.0000 0.7921 0.9569

5.
Below is a relaxed structure of BaHf2Ag, with properties calculated at the GGA-PBE level.

Summary:
crystal system = cubic
total energy = -5.50 eV per atom
space group = F-43m
volume = 104 Å³ per cell

Unit cell a=5.2764 b=5.2764 c=5.2764 alpha=60.00 beta=60.00 gamma=60.00
Positions (direct):
Ba 0.0000 0.0000 0.0000
Hf 0.5000 0.5000 0.5000
Hf 0.7500 0.7500 0.7500
Ag 0.2500 0.2500 0.2500

6.
Below is a relaxed structure of SmYTlTe3, with properties calculated at the GGA-PBE level.

Summary:
crystal system = orthorhombic
space group = Cmcm
volume = 421 Å³ per cell
energy relative to the lowest polymorph listed for this composition = 0.0 kJ/mol of formula units

Unit cell a=8.0174 b=8.0174 c=12.1448 alpha=90.00 beta=90.00 gamma=147.36
Positions (direct):
Sm 0.0000 0.0000 0.0000
Sm 0.0000 0.0000 0.5000
Y 0.4379 0.5621 0.7500
Y 0.5621 0.4379 0.2500
Tl 0.2549 0.7451 0.2500
Tl 0.7451 0.2549 0.7500
Te 0.0660 0.9340 0.7500
Te 0.3555 0.6445 0.5324
Te 0.3555 0.6445 0.9676
Te 0.6445 0.3555 0.0323
Te 0.6445 0.3555 0.4676
Te 0.9340 0.0660 0.2500

7.
Below is a relaxed structure of PaAlSi, with properties calculated at the GGA-PBE level.

Summary:
crystal system = cubic
total energy = -6.18 eV per atom
space group = F-43m
volume = 65 Å³ per cell

Unit cell a=4.5109 b=4.5109 c=4.5109 alpha=60.00 beta=60.00 gamma=60.00
Positions (direct):
Pa 0.0000 0.0000 0.0000
Al 0.5000 0.5000 0.5000
Si 0.7500 0.7500 0.7500

8.
Below is a relaxed structure of NpCoPb, with properties calculated at the GGA-PBE level.

Summary:
crystal system = cubic
total energy = -7.62 eV per atom
space group = F-43m
volume = 62 Å³ per cell

Unit cell a=4.4534 b=4.4534 c=4.4534 alpha=60.00 beta=60.00 gamma=60.00
Positions (direct):
Np 0.0000 0.0000 0.0000
Co 0.2500 0.2500 0.2500
Pb 0.5000 0.5000 0.5000

9.
Below is a relaxed structure of Ta4GeAsN2, with properties calculated at the GGA-PBE level.

Summary:
crystal system = hexagonal
total energy = -9.72 eV per atom
space group = P-6m2
volume = 113 Å³ per cell

Unit cell a=3.2867 b=3.2867 c=12.0822 alpha=90.00 beta=90.00 gamma=120.00
Positions (direct):
Ta 0.0000 0.0000 0.1560
Ta 0.0000 0.0000 0.8440
Ta 0.6667 0.3333 0.3395
Ta 0.6667 0.3333 0.6605
Ge 0.0000 0.0000 0.5000
As 0.6667 0.3333 0.0000
N 0.3333 0.6667 0.2487
N 0.3333 0.6667 0.7513

10.
Below is a relaxed structure of MgGaFeHg, with properties calculated at the GGA-PBE level.

Summary:
crystal system = cubic
space group = F-43m
volume = 69 Å³ per cell
energy relative to the lowest polymorph listed for this composition = 0.0 kJ/mol of formula units

Unit cell a=4.5983 b=4.5983 c=4.5983 alpha=60.00 beta=60.00 gamma=60.00
Positions (direct):
Mg 0.0000 0.0000 0.0000
Ga 0.2500 0.2500 0.2500
Fe 0.5000 0.5000 0.5000
Hg 0.7500 0.7500 0.7500

11.
Below is a relaxed structure of Er2TmMg3CdIn2, with properties calculated at the GGA-PBE level.

Summary:
crystal system = orthorhombic
total energy = -3.08 eV per atom
space group = Amm2
volume = 223 Å³ per cell

Unit cell a=4.5678 b=7.5074 c=7.5074 alpha=119.96 beta=90.00 gamma=90.00
Positions (direct):
Er 0.0000 0.2132 0.7868
Er 0.0000 0.7868 0.2132
Tm 0.0000 0.3603 0.3603
Mg 0.5000 0.0281 0.0281
Mg 0.5000 0.5454 0.7868
Mg 0.5000 0.7868 0.5454
Cd 0.0000 0.7866 0.7866
In 0.5000 0.1202 0.4534
In 0.5000 0.4534 0.1202